ScMn2O6 | GGA+U | optimized geometry

Cell: 4.9616 4.9616 4.5266 Å, 90.00 90.00 120.00°
With the nearest neighbours (Å) after each atom.
Space group P-31m (No. 162)
Asymmetric unit:
Sc 0.0000 0.0000 0.0000 (multiplicity 1)  6 O 2.14
Mn 0.3333 0.6667 0.5000 (multiplicity 2)  6 O 1.91
O 0.0000 0.3532 0.7296 (multiplicity 6)  2 Mn 1.91, 1 Sc 2.14

Output
D(E_F): 0.61 states/eV/atom
Size of the total moment: 5.00 μB per cell
Energy: -7.47 eV/atom
Theoretical density: 4.32 Mg/m³
Crystal system: trigonal